1.
Computed, not measured: KMnHgPt2 after structural relaxation at the PBE-GGA level of DFT.

a b c (Å): 5.144 5.445 5.144
angles (deg): 90.00 90.00 90.00
Positions (direct):
1 Hg 0.000 0.500 0.000
2 Mn 0.500 0.500 0.500
3 Pt 0.500 0.000 0.000
4 Pt 0.000 0.000 0.500
5 K 0.000 0.000 0.000

- total magnetization (μB/atom) = 0.98
- space-group type = P4/mmm
- E_form (meV per atom) = 1730

2.
Computed, not measured: KMnReHg2 after structural relaxation at the PBE-GGA level of DFT.

a b c (Å): 5.429 4.653 5.429
angles (deg): 90.00 90.00 90.00
Positions (direct):
1 Hg 0.500 0.000 0.000
2 Hg 0.000 0.000 0.500
3 Re 0.000 0.000 0.000
4 K 0.500 0.500 0.500
5 Mn 0.000 0.500 0.000

- total magnetization (μB/atom) = 0.64
- space-group type = P4/mmm
- E_form (meV per atom) = 624

3.
Computed, not measured: K2MnHgS4 after structural relaxation at the PBE-GGA level of DFT.

a b c (Å): 6.603 7.095 11.734
angles (deg): 82.48 73.66 62.27
Positions (direct):
1 S 0.259 0.191 0.893
2 S 0.199 0.309 0.393
3 S 0.902 0.691 0.607
4 S 0.342 0.809 0.107
5 S 0.848 0.809 0.893
6 S 0.491 0.309 0.607
7 S 0.408 0.691 0.393
8 S 0.551 0.191 0.107
9 K 0.567 0.500 0.866
10 K 0.183 0.000 0.634
11 K 0.933 0.500 0.134
12 K 0.817 0.000 0.366
13 Hg 0.750 0.500 0.500
14 Hg 0.000 0.000 0.000
15 Mn 0.250 0.500 0.500
16 Mn 0.500 0.000 0.000

- total magnetization (μB/atom) = 0.22
- space-group type = Fddd
- formation energy without anion corrections (meV/atom) = -596.4

4.
Computed, not measured: KMnHg2Sb after structural relaxation at the PBE-GGA level of DFT.

a b c (Å): 5.319 5.319 5.092
angles (deg): 90.00 90.00 90.00
Positions (direct):
1 K 0.500 0.500 0.500
2 Mn 0.000 0.000 0.000
3 Hg 0.500 0.000 0.000
4 Hg 0.000 0.500 0.000
5 Sb 0.000 0.000 0.500

- total magnetization (μB/atom) = 0.52
- space-group type = P4/mmm
- formation energy without anion corrections (meV/atom) = -16.6

5.
Computed, not measured: KMnHgTe3 after structural relaxation at the PBE-GGA level of DFT.

a b c (Å): 4.125 8.024 12.967
angles (deg): 107.50 90.00 90.00
Positions (direct):
1 Mn 0.250 0.656 0.109
2 Mn 0.750 0.344 0.891
3 K 0.750 0.715 0.696
4 K 0.250 0.285 0.304
5 Hg 0.750 0.896 0.376
6 Hg 0.250 0.104 0.624
7 Te 0.750 0.430 0.117
8 Te 0.250 0.104 0.842
9 Te 0.250 0.736 0.467
10 Te 0.750 0.896 0.158
11 Te 0.250 0.570 0.883
12 Te 0.750 0.264 0.533

- total magnetization (μB/atom) = 0.68
- space-group type = P2_1/m
- formation energy without anion corrections (meV/atom) = -370.9

6.
Computed, not measured: KMnTlHg2 after structural relaxation at the PBE-GGA level of DFT.

a b c (Å): 5.348 5.260 5.348
angles (deg): 90.00 90.00 90.00
Positions (direct):
1 Hg 0.500 0.000 0.000
2 Hg 0.000 0.000 0.500
3 Tl 0.000 0.500 0.000
4 Mn 0.000 0.000 0.000
5 K 0.500 0.500 0.500

- total magnetization (μB/atom) = 0.54
- space-group type = P4/mmm
- E_form (meV per atom) = 123

7.
Computed, not measured: KHgMo2 after structural relaxation at the PBE-GGA level of DFT.

a b c (Å): 5.666 2.881 5.173
angles (deg): 87.70 90.00 90.00
Positions (direct):
1 Mo 0.000 0.376 0.520
2 Mo 0.000 0.124 0.980
3 K 0.500 0.750 0.750
4 Hg 0.500 0.250 0.250

- total magnetization (μB/atom) = 0.00
- space-group type = P2/m
- E_form (meV per atom) = 1147

8.
Computed, not measured: KHg3Mo after structural relaxation at the PBE-GGA level of DFT.

a b c (Å): 6.173 6.173 6.173
angles (deg): 90.00 90.00 90.00
Positions (direct):
1 K 0.000 0.000 0.000
2 Hg 0.500 0.000 0.000
3 Hg 0.000 0.500 0.000
4 Hg 0.000 0.000 0.500
5 Mo 0.500 0.500 0.500

- total magnetization (μB/atom) = 1.04
- offset from the most stable computed form (meV/atom) = 807
- space-group type = Pm-3m
- E_form (meV per atom) = 1212

9.
Computed, not measured: KHgMo2 after structural relaxation at the PBE-GGA level of DFT.

a b c (Å): 3.762 3.762 7.597
angles (deg): 90.00 90.00 90.00
Positions (direct):
1 Hg 0.500 0.500 0.250
2 Mo 0.000 0.000 0.109
3 Mo 0.000 0.000 0.391
4 K 0.500 0.500 0.750

- total magnetization (μB/atom) = 0.00
- space-group type = P4/mmm
- E_form (meV per atom) = 1049

10.
Computed, not measured: KHgMo2 after structural relaxation at the PBE-GGA level of DFT.

a b c (Å): 6.603 6.603 5.210
angles (deg): 66.86 66.86 23.98
Positions (direct):
1 Mo 0.529 0.529 0.471
2 Mo 0.971 0.971 0.029
3 Hg 0.250 0.250 0.250
4 K 0.750 0.750 0.750

- total magnetization (μB/atom) = 0.00
- space-group type = C2/m
- E_form (meV per atom) = 1003

11.
Computed, not measured: KHgMo after structural relaxation at the PBE-GGA level of DFT.

a b c (Å): 3.008 3.008 8.636
angles (deg): 90.00 90.00 120.00
Positions (direct):
1 Hg 0.000 0.000 0.977
2 Mo 0.667 0.333 0.689
3 K 0.333 0.667 0.333

- total magnetization (μB/atom) = 0.19
- offset from the most stable computed form (meV/atom) = 64
- space-group type = P3m1
- E_form (meV per atom) = 972

12.
Computed, not measured: KHgMo2 after structural relaxation at the PBE-GGA level of DFT.

a b c (Å): 5.253 3.976 3.976
angles (deg): 90.00 90.00 90.00
Positions (direct):
1 Mo 0.000 0.000 0.000
2 Mo 0.000 0.500 0.500
3 Hg 0.500 0.500 0.000
4 K 0.500 0.000 0.500

- total magnetization (μB/atom) = 0.00
- space-group type = P4/mmm
- E_form (meV per atom) = 1373